1.
An optimized crystal structure of Zr3CoSe6. Source: Alexandria via LeMat-Bulk, functional GGA-PBEsol.

Summary:
For the uncorrected energy, the calculation gives -69.89 eV per cell. For the density of states at the Fermi level, the calculation gives 3.9 states/eV/cell.

a = 6.302 Å, b = 6.302 Å, c = 6.990 Å
α = 63.21°, β = 63.21°, γ = 60.00°
Positions (direct):
Zr (0.500, 0.500, 0.500)
Zr (0.168, 0.168, 0.496)
Zr (0.832, 0.832, 0.504)
Co (0.000, 0.000, 0.000)
Se (0.925, 0.258, 0.221)
Se (0.258, 0.596, 0.221)
Se (0.596, 0.925, 0.221)
Se (0.404, 0.075, 0.779)
Se (0.742, 0.404, 0.779)
Se (0.075, 0.742, 0.779)



2.
An optimized crystal structure of ZrCoSe. Source: Alexandria via LeMat-Bulk, functional GGA-PBEsol.

Summary:
For the uncorrected energy, the calculation gives -21.21 eV per cell. For the density of states at the Fermi level, the calculation gives 3.4 states/eV/cell.

a = 4.178 Å, b = 4.178 Å, c = 4.178 Å
α = 60.00°, β = 60.00°, γ = 60.00°
Positions (direct):
Co (0.500, 0.500, 0.500)
Se (0.750, 0.750, 0.750)
Zr (0.000, 0.000, 0.000)



3.
An optimized crystal structure of Co3Si. Source: Alexandria via LeMat-Bulk, functional GGA-PBEsol.

Summary:
For the uncorrected energy, the calculation gives -60.78 eV per cell. For the density of states at the Fermi level, the calculation gives 8.1 states/eV/cell.

a = 3.899 Å, b = 4.885 Å, c = 4.885 Å
α = 120.00°, β = 90.00°, γ = 90.00°
Positions (direct):
Si (0.750, 0.667, 0.333)
Si (0.250, 0.333, 0.667)
Co (0.750, 0.166, 0.834)
Co (0.750, 0.667, 0.834)
Co (0.750, 0.166, 0.333)
Co (0.250, 0.834, 0.166)
Co (0.250, 0.333, 0.166)
Co (0.250, 0.834, 0.667)



4.
An optimized crystal structure of CoSi5. Source: Alexandria via LeMat-Bulk, functional GGA-PBEsol.

Summary:
For the uncorrected energy, the calculation gives -35.83 eV per cell. For the density of states at the Fermi level, the calculation gives 3.1 states/eV/cell.

a = 3.201 Å, b = 4.339 Å, c = 5.952 Å
α = 90.00°, β = 105.60°, γ = 90.00°
Positions (direct):
Co (0.011, 0.000, 0.022)
Si (0.348, 0.000, 0.695)
Si (0.658, 0.000, 0.316)
Si (0.445, 0.500, 0.890)
Si (0.769, 0.500, 0.537)
Si (0.103, 0.500, 0.206)



5.
An optimized crystal structure of CoSi. Source: Alexandria via LeMat-Bulk, functional GGA-PBEsol.

Summary:
For the uncorrected energy, the calculation gives -27.32 eV per cell. For the density of states at the Fermi level, the calculation gives 3.7 states/eV/cell.

a = 2.685 Å, b = 2.685 Å, c = 7.514 Å
α = 79.71°, β = 79.71°, γ = 60.00°
Positions (direct):
Co (0.122, 0.122, 0.634)
Co (0.878, 0.878, 0.366)
Si (0.620, 0.620, 0.140)
Si (0.380, 0.380, 0.860)



6.
An optimized crystal structure of Co5Si. Source: Alexandria via LeMat-Bulk, functional GGA-PBEsol.

Summary:
For the uncorrected energy, the calculation gives -45.56 eV per cell. For the density of states at the Fermi level, the calculation gives 5.2 states/eV/cell.

a = 2.521 Å, b = 3.916 Å, c = 6.396 Å
α = 90.00°, β = 101.37°, γ = 90.00°
Positions (direct):
Si (0.115, 0.500, 0.231)
Co (0.997, 0.000, 0.994)
Co (0.331, 0.000, 0.662)
Co (0.663, 0.000, 0.327)
Co (0.446, 0.500, 0.892)
Co (0.781, 0.500, 0.561)



7.
An optimized crystal structure of CoSi7. Source: Alexandria via LeMat-Bulk, functional GGA-PBEsol.

Summary:
For the uncorrected energy, the calculation gives -45.85 eV per cell. For the density of states at the Fermi level, the calculation gives 3.5 states/eV/cell.

a = 5.260 Å, b = 5.260 Å, c = 5.260 Å
α = 60.00°, β = 60.00°, γ = 60.00°
Positions (direct):
Co (0.000, 0.000, 0.000)
Si (0.000, 0.000, 0.500)
Si (0.000, 0.500, 0.000)
Si (0.500, 0.000, 0.000)
Si (0.500, 0.500, 0.000)
Si (0.500, 0.000, 0.500)
Si (0.000, 0.500, 0.500)
Si (0.500, 0.500, 0.500)



8.
An optimized crystal structure of Co5Si. Source: Alexandria via LeMat-Bulk, functional GGA-PBEsol.

Summary:
For the uncorrected energy, the calculation gives -45.54 eV per cell. For the density of states at the Fermi level, the calculation gives 6.0 states/eV/cell.

a = 2.511 Å, b = 4.641 Å, c = 5.706 Å
α = 104.79°, β = 90.00°, γ = 105.70°
Positions (direct):
Si (0.720, 0.440, 0.938)
Co (0.004, 0.009, 0.006)
Co (0.667, 0.334, 0.338)
Co (0.335, 0.670, 0.669)
Co (0.387, 0.774, 0.274)
Co (0.053, 0.106, 0.609)



9.
An optimized crystal structure of CoSi. Source: Alexandria via LeMat-Bulk, functional GGA-PBEsol.

Summary:
For the uncorrected energy, the calculation gives -28.30 eV per cell. For the density of states at the Fermi level, the calculation gives 3.0 states/eV/cell.

a = 3.727 Å, b = 3.727 Å, c = 4.499 Å
α = 65.53°, β = 65.53°, γ = 60.00°
Positions (direct):
Co (0.298, 0.298, 0.107)
Co (0.702, 0.702, 0.893)
Si (0.107, 0.107, 0.679)
Si (0.893, 0.893, 0.321)



10.
An optimized crystal structure of Co5Si. Source: Alexandria via LeMat-Bulk, functional GGA-PBEsol.

Summary:
For the uncorrected energy, the calculation gives -45.43 eV per cell. For the density of states at the Fermi level, the calculation gives 5.8 states/eV/cell.

a = 2.561 Å, b = 2.561 Å, c = 9.476 Å
α = 90.00°, β = 90.00°, γ = 90.00°
Positions (direct):
Si (0.500, 0.500, 0.000)
Co (0.000, 0.000, 0.847)
Co (0.000, 0.000, 0.153)
Co (0.500, 0.500, 0.671)
Co (0.500, 0.500, 0.329)
Co (0.000, 0.000, 0.500)



11.
An optimized crystal structure of CoSi. Source: Alexandria via LeMat-Bulk, functional GGA-PBEsol.

Summary:
For the uncorrected energy, the calculation gives -59.82 eV per cell. For the density of states at the Fermi level, the calculation gives 3.1 states/eV/cell.

a = 4.385 Å, b = 4.385 Å, c = 4.385 Å
α = 90.00°, β = 90.00°, γ = 90.00°
Positions (direct):
Si (0.843, 0.843, 0.843)
Si (0.657, 0.157, 0.343)
Si (0.157, 0.343, 0.657)
Si (0.343, 0.657, 0.157)
Co (0.146, 0.146, 0.146)
Co (0.354, 0.854, 0.646)
Co (0.854, 0.646, 0.354)
Co (0.646, 0.354, 0.854)



12.
An optimized crystal structure of Co5Si. Source: Alexandria via LeMat-Bulk, functional GGA-PBEsol.

Summary:
For the uncorrected energy, the calculation gives -45.69 eV per cell. For the density of states at the Fermi level, the calculation gives 7.6 states/eV/cell.

a = 3.435 Å, b = 3.463 Å, c = 5.463 Å
α = 71.53°, β = 90.00°, γ = 90.00°
Positions (direct):
Si (0.000, 0.500, 0.000)
Co (0.500, 0.331, 0.337)
Co (0.000, 0.170, 0.659)
Co (0.500, 0.000, 0.000)
Co (0.000, 0.830, 0.341)
Co (0.500, 0.669, 0.663)



13.
An optimized crystal structure of CoSi2. Source: Alexandria via LeMat-Bulk, functional GGA-PBEsol.

Summary:
For the uncorrected energy, the calculation gives -60.92 eV per cell. For the density of states at the Fermi level, the calculation gives 5.8 states/eV/cell.

a = 3.212 Å, b = 6.188 Å, c = 6.188 Å
α = 120.00°, β = 90.00°, γ = 90.00°
Positions (direct):
Co (0.000, 0.667, 0.333)
Co (0.000, 0.333, 0.667)
Co (0.500, 0.000, 0.000)
Si (0.000, 0.731, 0.731)
Si (0.000, 0.000, 0.269)
Si (0.000, 0.269, 0.000)
Si (0.500, 0.377, 0.377)
Si (0.500, 0.000, 0.623)
Si (0.500, 0.623, 0.000)



14.
An optimized crystal structure of Co3Si. Source: Alexandria via LeMat-Bulk, functional GGA-PBEsol.

Summary:
For the uncorrected energy, the calculation gives -29.49 eV per cell. For the density of states at the Fermi level, the calculation gives 4.7 states/eV/cell.

a = 2.536 Å, b = 2.536 Å, c = 7.712 Å
α = 80.54°, β = 80.54°, γ = 60.00°
Positions (direct):
Co (0.747, 0.747, 0.758)
Co (0.500, 0.500, 0.500)
Co (0.253, 0.253, 0.242)
Si (0.000, 0.000, 0.000)



15.
An optimized crystal structure of Co3Si. Source: Alexandria via LeMat-Bulk, functional GGA-PBEsol.

Summary:
For the uncorrected energy, the calculation gives -30.38 eV per cell. For the density of states at the Fermi level, the calculation gives 5.1 states/eV/cell.

a = 3.525 Å, b = 3.525 Å, c = 4.138 Å
α = 115.21°, β = 115.21°, γ = 90.00°
Positions (direct):
Si (0.000, 0.000, 0.000)
Co (0.750, 0.250, 0.500)
Co (0.500, 0.500, 0.000)
Co (0.250, 0.750, 0.500)



16.
An optimized crystal structure of CoSi2. Source: Alexandria via LeMat-Bulk, functional GGA-PBEsol.

Summary:
For the uncorrected energy, the calculation gives -20.98 eV per cell. For the density of states at the Fermi level, the calculation gives 0.9 states/eV/cell.

a = 3.756 Å, b = 3.756 Å, c = 3.756 Å
α = 60.00°, β = 60.00°, γ = 60.00°
Positions (direct):
Si (0.250, 0.250, 0.250)
Si (0.750, 0.750, 0.750)
Co (0.000, 0.000, 0.000)



17.
An optimized crystal structure of Co5Si4. Source: Alexandria via LeMat-Bulk, functional GGA-PBEsol.

Summary:
For the uncorrected energy, the calculation gives -64.98 eV per cell. For the density of states at the Fermi level, the calculation gives 8.0 states/eV/cell.

a = 3.541 Å, b = 5.508 Å, c = 5.508 Å
α = 84.07°, β = 71.25°, γ = 71.25°
Positions (direct):
Co (0.000, 0.000, 0.000)
Co (0.670, 0.000, 0.660)
Co (0.330, 0.000, 0.340)
Co (0.670, 0.660, 0.000)
Co (0.330, 0.340, 0.000)
Si (0.000, 0.695, 0.305)
Si (0.000, 0.305, 0.695)
Si (0.695, 0.305, 0.305)
Si (0.305, 0.695, 0.695)



18.
An optimized crystal structure of Co3Si2. Source: Alexandria via LeMat-Bulk, functional GGA-PBEsol.

Summary:
For the uncorrected energy, the calculation gives -37.17 eV per cell. For the density of states at the Fermi level, the calculation gives 1.9 states/eV/cell.

a = 3.729 Å, b = 3.729 Å, c = 4.659 Å
α = 90.00°, β = 90.00°, γ = 120.00°
Positions (direct):
Si (0.333, 0.667, 0.813)
Si (0.667, 0.333, 0.187)
Co (0.000, 0.000, 0.000)
Co (0.333, 0.667, 0.330)
Co (0.667, 0.333, 0.670)



19.
An optimized crystal structure of SmCoSi. Source: Alexandria via LeMat-Bulk, functional GGA-PBEsol.

Summary:
For the uncorrected energy, the calculation gives -41.72 eV per cell. For the density of states at the Fermi level, the calculation gives 3.4 states/eV/cell.

a = 3.947 Å, b = 3.947 Å, c = 6.812 Å
α = 90.00°, β = 90.00°, γ = 90.00°
Positions (direct):
Si (0.500, 0.000, 0.325)
Si (0.000, 0.500, 0.675)
Co (0.000, 0.000, 0.500)
Co (0.500, 0.500, 0.500)
Sm (0.500, 0.000, 0.817)
Sm (0.000, 0.500, 0.183)



20.
An optimized crystal structure of SmCoSi3. Source: Alexandria via LeMat-Bulk, functional GGA-PBEsol.

Summary:
For the uncorrected energy, the calculation gives -33.90 eV per cell. For the density of states at the Fermi level, the calculation gives 1.6 states/eV/cell.

a = 4.058 Å, b = 4.058 Å, c = 5.544 Å
α = 111.47°, β = 111.47°, γ = 90.00°
Positions (direct):
Si (0.239, 0.739, 0.478)
Si (0.739, 0.239, 0.478)
Si (0.572, 0.572, 0.144)
Co (0.339, 0.339, 0.678)
Sm (0.996, 0.996, 0.991)



The calculation returns the following raw formation energy values, one per record and in order: -1179 -178 -358 107 -88 -187 264 -184 -333 -167 -736 -209 -359 -133 -355 -583 -367 -493 -762 -765 meV/atom.